A plane-wave DFT calculation with PBE-GGA was carried out for an optimized crystal structure of Ho3Tm3Tl.

Cell: 5.490 9.309 9.310 Å, 120.04 90.00 90.00°
Element x y z (fractional)
Tm: 0.750 0.481 0.375
Tm: 0.250 0.106 0.481
Tm: 0.750 0.625 0.106
Tm: 0.250 0.375 0.894
Tm: 0.750 0.894 0.519
Tm: 0.250 0.519 0.625
Ho: 0.250 0.242 0.178
Ho: 0.250 0.936 0.758
Ho: 0.750 0.064 0.242
Ho: 0.250 0.822 0.064
Ho: 0.750 0.758 0.822
Ho: 0.750 0.178 0.936
Tl: 0.750 0.333 0.667
Tl: 0.250 0.667 0.333

Summary:
ΔH_f (0 K) in eV/atom: -0.06